Entry 1:
Here is a relaxed structure of CsLi2Np3Se6 from Alexandria via LeMat-Bulk. Energies are from PBE.

Unit cell a=10.3785 b=10.3785 c=10.0285 alpha=114.33 beta=114.33 gamma=23.33
With the nearest neighbours (Å) after each atom.
Atoms (fractional coordinates):
Cs  0.0000  0.0000  0.0000  6 Se 3.49-3.67
Li  0.3711  0.3711  0.5442  3 Se 2.55-2.56
Li  0.6289  0.6289  0.4558  3 Se 2.55-2.56
Np  0.0000  0.0000  0.5000  6 Se 2.91-2.93
Np  0.3319  0.3319  0.1693  6 Se 2.84-2.96
Np  0.6681  0.6681  0.8307  6 Se 2.84-2.96
Se  0.1585  0.1585  0.6145  2 Li 2.55
Se  0.1778  0.1778  0.0319  3 Np 2.84-2.86
Se  0.4925  0.4925  0.2930  1 Li 2.56
Se  0.5075  0.5075  0.7070  1 Li 2.56
Se  0.8222  0.8222  0.9681  3 Np 2.84-2.86
Se  0.8415  0.8415  0.3855  2 Li 2.55

Computed properties:
For the uncorrected formation energy, the calculation gives -26.75 kcal/mol of atoms.

***

Entry 2:
Here is a relaxed structure of MgCd2Mo from Alexandria via LeMat-Bulk. Energies are from PBE.

Unit cell a=10.0640 b=10.0640 c=10.0640 alpha=17.16 beta=17.16 gamma=17.16
With the nearest neighbours (Å) after each atom.
Atoms (fractional coordinates):
Mg  0.0000  0.0000  0.0000  6 Mg 3.00, 6 Cd 3.09
Cd  0.2472  0.2472  0.2472  3 Mo 2.96, 6 Cd 3.00, 3 Mg 3.09
Cd  0.7528  0.7528  0.7528  3 Mo 2.96, 6 Cd 3.00, 3 Mg 3.09
Mo  0.5000  0.5000  0.5000  6 Cd 2.96, 6 Mo 3.00

Computed properties:
The formation energy comes out at 30.2 kJ per mole of atoms.

***

Entry 3:
Here is a relaxed structure of SbPtPb4 from Alexandria via LeMat-Bulk. Energies are from PBE.

Unit cell a=6.3201 b=6.3201 c=6.3201 alpha=60.00 beta=60.00 gamma=60.00
With the nearest neighbours (Å) after each atom.
Atoms (fractional coordinates):
Sb  0.0000  0.0000  0.0000  12 Pb 3.71, 4 Pt 3.87
Pt  0.2500  0.2500  0.2500  12 Pb 3.70, 4 Sb 3.87
Pb  0.1262  0.6246  0.6246  6 Pb 3.15-3.17
Pb  0.6246  0.1262  0.6246  6 Pb 3.15-3.17
Pb  0.6246  0.6246  0.1262  6 Pb 3.15-3.17
Pb  0.6246  0.6246  0.6246  6 Pb 3.15-3.17

Computed properties:
For the uncorrected formation energy, the calculation gives 12.05 kcal/mol of atoms.

***

Entry 4:
Here is a relaxed structure of Th3Zn2Ga4 from Alexandria via LeMat-Bulk. Energies are from PBE.

Unit cell a=6.0124 b=6.0124 c=8.5504 alpha=101.19 beta=101.19 gamma=41.82
With the nearest neighbours (Å) after each atom.
Atoms (fractional coordinates):
Th  0.0000  0.0000  0.0000  8 Ga 3.23-3.29, 4 Zn 3.25
Th  0.3365  0.3365  0.3317  4 Zn 3.21-3.28, 8 Ga 3.23-3.26
Th  0.6635  0.6635  0.6683  4 Zn 3.21-3.28, 8 Ga 3.23-3.26
Zn  0.3891  0.3891  0.7218  3 Ga 2.46-2.47
Zn  0.6109  0.6109  0.2782  3 Ga 2.46-2.47
Ga  0.0599  0.0599  0.3906  2 Zn 2.47, 1 Ga 2.52
Ga  0.2806  0.2806  0.9434  1 Zn 2.46, 2 Ga 2.51
Ga  0.7194  0.7194  0.0566  1 Zn 2.46, 2 Ga 2.51
Ga  0.9401  0.9401  0.6094  2 Zn 2.47, 1 Ga 2.52

Computed properties:
The formation energy comes out at -51.6 kJ per mole of atoms.

***

Entry 5:
Here is a relaxed structure of BaAs2Rh from Alexandria via LeMat-Bulk. Energies are from PBE.

Unit cell a=5.0270 b=5.0270 c=5.0270 alpha=60.00 beta=60.00 gamma=60.00
With the nearest neighbours (Å) after each atom.
Atoms (fractional coordinates):
Ba  0.0000  0.0000  0.0000  8 As 3.08
As  0.2500  0.2500  0.2500  4 Ba 3.08, 4 Rh 3.08
As  0.7500  0.7500  0.7500  4 Ba 3.08, 4 Rh 3.08
Rh  0.5000  0.5000  0.5000  8 As 3.08

Computed properties:
The formation energy comes out at -6.4 kJ per mole of atoms.

***

Entry 6:
Here is a relaxed structure of SrPrHo4Se8 from Alexandria via LeMat-Bulk. Energies are from PBE.

Unit cell a=8.6142 b=8.6142 c=8.6142 alpha=59.20 beta=59.20 gamma=59.20
With the nearest neighbours (Å) after each atom.
Atoms (fractional coordinates):
Sr  0.0000  0.0000  0.0000  4 Se 2.90-2.91
Pr  0.6292  0.6292  0.6292  6 Se 2.95-3.05
Ho  0.1221  0.6290  0.6290  6 Se 2.82-2.95
Ho  0.2532  0.2532  0.2532  4 Se 2.75-2.80
Ho  0.6290  0.1221  0.6290  6 Se 2.82-2.95
Ho  0.6290  0.6290  0.1221  6 Se 2.82-2.95
Se  0.3778  0.3778  0.8592  3 Ho 2.75-2.94, 1 Pr 3.05
Se  0.3778  0.8592  0.3778  3 Ho 2.75-2.94, 1 Pr 3.05
Se  0.3853  0.3853  0.3853  4 Ho 2.80-2.95
Se  0.4152  0.8714  0.8714  2 Ho 2.82, 1 Sr 2.90, 1 Pr 2.95
Se  0.8592  0.3778  0.3778  3 Ho 2.75-2.94, 1 Pr 3.05
Se  0.8628  0.8628  0.8628  3 Ho 2.84, 1 Sr 2.91
Se  0.8714  0.4152  0.8714  2 Ho 2.82, 1 Sr 2.90, 1 Pr 2.95
Se  0.8714  0.8714  0.4152  2 Ho 2.82, 1 Sr 2.90, 1 Pr 2.95

Computed properties:
For the uncorrected formation energy, the calculation gives -41.14 kcal/mol of atoms.

***

Number 1: mass density 5.70 g cm⁻³. Number 2: mass density 7.40 g cm⁻³. Number 3: mass density 10.66 g cm⁻³. Number 4: mass density 9.11 g cm⁻³. Number 5: mass density 7.21 g cm⁻³. Number 6: mass density 5.69 g cm⁻³.